1.
Compound: TmThIrPd
Source: Alexandria
Functional: PBE-GGA
Structure: relaxed

Properties
Polymorph energy (0 for the lowest one) ... 137 meV per atom
Raw total energy ... -7.31 eV per atom

The structure in POSCAR format:
```
TmThIrPd
1.0
0.000 3.529 3.529
3.529 0.000 3.529
3.529 3.529 0.000
Tm Th Ir Pd
1 1 1 1
Direct
0.000 0.000 0.000 Tm
0.500 0.500 0.500 Th
0.250 0.250 0.250 Ir
0.750 0.750 0.750 Pd
```

2.
Compound: YThIrPd
Source: Alexandria
Functional: PBE-GGA
Structure: relaxed

Properties
Polymorph energy (0 for the lowest one) ... 0 meV per atom
Raw total energy ... -7.92 eV per atom

The structure in POSCAR format:
```
YThIrPd
1.0
4.253 0.000 0.000
0.000 1.936 5.632
0.000 -1.936 5.632
Y Th Ir Pd
1 1 1 1
Direct
0.000 0.000 0.000 Y
0.500 0.277 0.277 Th
0.000 0.738 0.738 Ir
0.500 0.554 0.554 Pd
```

3.
Compound: YThIrPd
Source: Alexandria
Functional: PBE-GGA
Structure: relaxed

Properties
Polymorph energy (0 for the lowest one) ... 150 meV per atom
Raw total energy ... -7.77 eV per atom

The structure in POSCAR format:
```
YThIrPd
1.0
0.000 3.551 3.551
3.551 0.000 3.551
3.551 3.551 0.000
Y Th Ir Pd
1 1 1 1
Direct
0.000 0.000 0.000 Y
0.500 0.500 0.500 Th
0.250 0.250 0.250 Ir
0.750 0.750 0.750 Pd
```

4.
Compound: ThZrIrPd
Source: Alexandria
Functional: PBE-GGA
Structure: relaxed

Properties
Raw total energy ... -8.13 eV per atom

The structure in POSCAR format:
```
ThZrIrPd
1.0
0.000 3.479 3.479
3.479 0.000 3.479
3.479 3.479 0.000
Th Zr Ir Pd
1 1 1 1
Direct
0.000 0.000 0.000 Th
0.500 0.500 0.500 Zr
0.250 0.250 0.250 Ir
0.750 0.750 0.750 Pd
```

5.
Compound: Ti2IrPd2
Source: Alexandria
Functional: PBE-GGA
Structure: relaxed

Properties
Polymorph energy (0 for the lowest one) ... 0 meV per atom
Raw total energy ... -7.61 eV per atom

The structure in POSCAR format:
```
Ti2IrPd2
1.0
1.727 -7.861 0.000
1.727 7.861 0.000
0.000 0.000 2.925
Ti Ir Pd
2 1 2
Direct
0.098 0.902 0.000 Ti
0.902 0.098 0.000 Ti
0.500 0.500 0.500 Ir
0.317 0.683 0.500 Pd
0.683 0.317 0.500 Pd
```

6.
Compound: Ti4IrPd3
Source: Alexandria
Functional: PBE-GGA
Structure: relaxed

Properties
Raw total energy ... -7.61 eV per atom

The structure in POSCAR format:
```
Ti4IrPd3
1.0
2.875 0.000 0.000
0.000 2.875 0.000
0.000 0.000 15.052
Ti Ir Pd
4 1 3
Direct
0.000 0.000 0.117 Ti
0.000 0.000 0.374 Ti
0.000 0.000 0.626 Ti
0.000 0.000 0.883 Ti
0.500 0.500 0.000 Ir
0.500 0.500 0.246 Pd
0.500 0.500 0.500 Pd
0.500 0.500 0.754 Pd
```

Number 1: energy of formation from the pure elements -0.83 eV per atom. Number 2: energy of formation from the pure elements -0.94 eV per atom. Number 3: energy of formation from the pure elements -0.79 eV per atom. Number 4: energy of formation from the pure elements -0.62 eV per atom. Number 5: energy of formation from the pure elements -0.60 eV per atom. Number 6: energy of formation from the pure elements -0.61 eV per atom.